Density functional theory data (PBE) for crystalline LaPmDy at its relaxed geometry.

Values from the calculation:
DFT formation energy = 27 meV per atom
Offset from the most stable computed form = 13.4 meV per atom

abc: 3.6625 3.6625 15.4071
angles: 90.00 90.00 90.00
With the nearest neighbours (Å) after each atom.
Space group I4mm (No. 107)
Symmetry-distinct sites (fractional):
La: 0.0000 0.0000 0.0000 [2 per cell]  4 Dy 3.65, 4 La 3.66, 4 Pm 3.70
Pm: 0.0000 0.0000 0.6711 [2 per cell]  4 Dy 3.60, 4 Pm 3.66, 4 La 3.70
Dy: 0.0000 0.0000 0.3330 [2 per cell]  4 Pm 3.60, 4 La 3.65, 4 Dy 3.66